Below is a relaxed structure of OsRu4Au, with properties calculated at the PBE level.

```
data_OsRu4Au
_chemical_formula_sum 'Os4 Ru16 Au4'
_space_group_name_H-M_alt 'F -4 3 m'
_space_group_IT_number 216
_space_group_name_Hall 'F -4 2 3'
_cell_length_a 7.1605
_cell_length_b 7.1605
_cell_length_c 7.1605
_cell_angle_alpha 90.00
_cell_angle_beta 90.00
_cell_angle_gamma 90.00
loop_
_atom_site_label
_atom_site_type_symbol
_atom_site_fract_x
_atom_site_fract_y
_atom_site_fract_z
_atom_site_occupancy
Os1 Os 0.0000 0.0000 0.0000 1
Ru1 Ru 0.1252 0.1252 0.6252 1
Au1 Au 0.2500 0.2500 0.2500 1
```

Calculated values
For the total magnetization, the calculation gives 0.003 Bohr magnetons per cell. As for the energy of formation from the pure elements: 0.7316 eV per atom.

=====

Below is a relaxed structure of OsRuAu2, with properties calculated at the PBE level.

```
data_OsRuAu2
_chemical_formula_sum 'Os4 Ru4 Au8'
_space_group_name_H-M_alt 'I -4 2 d'
_space_group_IT_number 122
_space_group_name_Hall 'I -4 2bw'
_cell_length_a 7.3561
_cell_length_b 7.3561
_cell_length_c 5.2080
_cell_angle_alpha 90.00
_cell_angle_beta 90.00
_cell_angle_gamma 90.00
loop_
_atom_site_label
_atom_site_type_symbol
_atom_site_fract_x
_atom_site_fract_y
_atom_site_fract_z
_atom_site_occupancy
Os1 Os 0.0000 0.0000 0.0000 1
Ru1 Ru 0.0000 0.0000 0.5000 1
Au1 Au 0.2452 0.2500 0.1250 1
```

Calculated values
For the total magnetization, the calculation gives 0.000 Bohr magnetons per cell. As for the energy of formation from the pure elements: 1.1610 eV per atom.

=====

Below is a relaxed structure of OsRuAu2, with properties calculated at the PBE level.

```
data_OsRuAu2
_chemical_formula_sum 'Os2 Ru2 Au4'
_space_group_name_H-M_alt 'C 1 2/m 1'
_space_group_IT_number 12
_cell_length_a 9.4044
_cell_length_b 2.7894
_cell_length_c 4.9114
_cell_angle_alpha 90.00
_cell_angle_beta 99.64
_cell_angle_gamma 90.00
loop_
_space_group_symop_operation_xyz
'x,y,z'
'-x,-y,-z'
'-x,y,-z'
'x,-y,z'
'x+1/2,y+1/2,z'
'-x+1/2,-y+1/2,-z'
'-x+1/2,y+1/2,-z'
'x+1/2,-y+1/2,z'
loop_
_atom_site_label
_atom_site_type_symbol
_atom_site_fract_x
_atom_site_fract_y
_atom_site_fract_z
_atom_site_occupancy
Os1 Os 0.0000 0.0000 0.0000 1
Ru1 Ru 0.0000 0.5000 0.5000 1
Au1 Au 0.2489 0.5000 0.2498 1
```

Calculated values
For the total magnetization, the calculation gives 0.755 Bohr magnetons per cell. As for the energy of formation from the pure elements: 0.5777 eV per atom.

=====

Below is a relaxed structure of OsRuAu2, with properties calculated at the PBE level.

```
data_OsRuAu2
_chemical_formula_sum 'Os1 Ru1 Au2'
_space_group_name_H-M_alt 'P 4/m m m'
_space_group_IT_number 123
_space_group_name_Hall '-P 4 2'
_cell_length_a 3.9505
_cell_length_b 3.9505
_cell_length_c 4.0660
_cell_angle_alpha 90.00
_cell_angle_beta 90.00
_cell_angle_gamma 90.00
loop_
_atom_site_label
_atom_site_type_symbol
_atom_site_fract_x
_atom_site_fract_y
_atom_site_fract_z
_atom_site_occupancy
Os1 Os 0.0000 0.0000 0.0000 1
Ru1 Ru 0.5000 0.5000 0.0000 1
Au1 Au 0.0000 0.5000 0.5000 1
```

Calculated values
For the total magnetization, the calculation gives 0.000 Bohr magnetons per cell. As for the energy of formation from the pure elements: 0.6935 eV per atom.

=====

Below is a relaxed structure of OsRuAu2, with properties calculated at the PBE level.

```
data_OsRuAu2
_chemical_formula_sum 'Os4 Ru4 Au8'
_space_group_name_H-M_alt 'F m -3 m'
_space_group_IT_number 225
_space_group_name_Hall '-F 4 2 3'
_cell_length_a 6.3445
_cell_length_b 6.3445
_cell_length_c 6.3445
_cell_angle_alpha 90.00
_cell_angle_beta 90.00
_cell_angle_gamma 90.00
loop_
_atom_site_label
_atom_site_type_symbol
_atom_site_fract_x
_atom_site_fract_y
_atom_site_fract_z
_atom_site_occupancy
Os1 Os 0.0000 0.0000 0.0000 1
Ru1 Ru 0.0000 0.0000 0.5000 1
Au1 Au 0.2500 0.2500 0.2500 1
```

Calculated values
For the total magnetization, the calculation gives 0.000 Bohr magnetons per cell. As for the energy of formation from the pure elements: 0.7870 eV per atom.

=====

Below is a relaxed structure of OsRuAu2, with properties calculated at the PBE level.

```
data_OsRuAu2
_chemical_formula_sum 'Os2 Ru2 Au4'
_space_group_name_H-M_alt 'C 1 2/m 1'
_space_group_IT_number 12
_cell_length_a 5.5400
_cell_length_b 9.8270
_cell_length_c 2.7448
_cell_angle_alpha 90.00
_cell_angle_beta 119.38
_cell_angle_gamma 90.00
loop_
_space_group_symop_operation_xyz
'x,y,z'
'-x,-y,-z'
'-x,y,-z'
'x,-y,z'
'x+1/2,y+1/2,z'
'-x+1/2,-y+1/2,-z'
'-x+1/2,y+1/2,-z'
'x+1/2,-y+1/2,z'
loop_
_atom_site_label
_atom_site_type_symbol
_atom_site_fract_x
_atom_site_fract_y
_atom_site_fract_z
_atom_site_occupancy
Os1 Os 0.0000 0.0000 0.0000 1
Ru1 Ru 0.0000 0.5000 0.0000 1
Au1 Au 0.2500 0.2500 0.5000 1
```

Calculated values
For the total magnetization, the calculation gives 1.785 Bohr magnetons per cell. As for the energy of formation from the pure elements: 0.6784 eV per atom.

=====

Below is a relaxed structure of OsRuAu2, with properties calculated at the PBE level.

```
data_OsRuAu2
_chemical_formula_sum 'Os3 Ru3 Au6'
_space_group_name_H-M_alt 'R 3 m'
_space_group_IT_number 160
_space_group_name_Hall 'R 3 -2"'
_cell_length_a 2.8085
_cell_length_b 2.8085
_cell_length_c 28.4286
_cell_angle_alpha 90.00
_cell_angle_beta 90.00
_cell_angle_gamma 120.00
loop_
_atom_site_label
_atom_site_type_symbol
_atom_site_fract_x
_atom_site_fract_y
_atom_site_fract_z
_atom_site_occupancy
Os1 Os 0.0000 0.0000 0.0000 1
Ru1 Ru 0.0000 0.0000 0.2634 1
Au1 Au 0.0000 0.0000 0.5108 1
Au2 Au 0.0000 0.0000 0.7533 1
```

Calculated values
For the total magnetization, the calculation gives 0.000 Bohr magnetons per cell. As for the energy of formation from the pure elements: 0.2682 eV per atom.

=====

Below is a relaxed structure of Os3RuAu, with properties calculated at the PBE level.

```
data_Os3RuAu
_chemical_formula_sum 'Os3 Ru1 Au1'
_space_group_name_H-M_alt 'P m -3 m'
_space_group_IT_number 221
_space_group_name_Hall '-P 4 2 3'
_cell_length_a 4.6473
_cell_length_b 4.6473
_cell_length_c 4.6473
_cell_angle_alpha 90.00
_cell_angle_beta 90.00
_cell_angle_gamma 90.00
loop_
_atom_site_label
_atom_site_type_symbol
_atom_site_fract_x
_atom_site_fract_y
_atom_site_fract_z
_atom_site_occupancy
Os1 Os 0.0000 0.0000 0.5000 1
Ru1 Ru 0.0000 0.0000 0.0000 1
Au1 Au 0.5000 0.5000 0.5000 1
```

Calculated values
For the total magnetization, the calculation gives 1.431 Bohr magnetons per cell. As for the energy of formation from the pure elements: 2.3567 eV per atom.

=====

Below is a relaxed structure of OsRu3Au, with properties calculated at the PBE level.

```
data_OsRu3Au
_chemical_formula_sum 'Os1 Ru3 Au1'
_space_group_name_H-M_alt 'P m -3 m'
_space_group_IT_number 221
_space_group_name_Hall '-P 4 2 3'
_cell_length_a 4.6712
_cell_length_b 4.6712
_cell_length_c 4.6712
_cell_angle_alpha 90.00
_cell_angle_beta 90.00
_cell_angle_gamma 90.00
loop_
_atom_site_label
_atom_site_type_symbol
_atom_site_fract_x
_atom_site_fract_y
_atom_site_fract_z
_atom_site_occupancy
Os1 Os 0.0000 0.0000 0.0000 1
Ru1 Ru 0.0000 0.0000 0.5000 1
Au1 Au 0.5000 0.5000 0.5000 1
```

Calculated values
For the total magnetization, the calculation gives 1.897 Bohr magnetons per cell. As for the energy of formation from the pure elements: 1.7033 eV per atom.

=====

Below is a relaxed structure of Os2Ru2Au, with properties calculated at the PBE level.

```
data_Os2Ru2Au
_chemical_formula_sum 'Os4 Ru4 Au2'
_space_group_name_H-M_alt 'P 4/m b m'
_space_group_IT_number 127
_space_group_name_Hall '-P 4 2ab'
_cell_length_a 7.5401
_cell_length_b 7.5401
_cell_length_c 2.7500
_cell_angle_alpha 90.00
_cell_angle_beta 90.00
_cell_angle_gamma 90.00
loop_
_atom_site_label
_atom_site_type_symbol
_atom_site_fract_x
_atom_site_fract_y
_atom_site_fract_z
_atom_site_occupancy
Os1 Os 0.1217 0.3783 0.0000 1
Ru1 Ru 0.1682 0.6682 0.5000 1
Au1 Au 0.0000 0.0000 0.0000 1
```

Calculated values
For the total magnetization, the calculation gives 0.000 Bohr magnetons per cell. As for the energy of formation from the pure elements: 0.3740 eV per atom.

=====

Below is a relaxed structure of OsRuAu, with properties calculated at the PBE level.

```
data_OsRuAu
_chemical_formula_sum 'Os2 Ru2 Au2'
_space_group_name_H-M_alt 'I 4 m m'
_space_group_IT_number 107
_space_group_name_Hall 'I 4 -2'
_cell_length_a 2.7995
_cell_length_b 2.7995
_cell_length_c 11.8764
_cell_angle_alpha 90.00
_cell_angle_beta 90.00
_cell_angle_gamma 90.00
loop_
_atom_site_label
_atom_site_type_symbol
_atom_site_fract_x
_atom_site_fract_y
_atom_site_fract_z
_atom_site_occupancy
Os1 Os 0.0000 0.0000 0.0000 1
Ru1 Ru 0.0000 0.0000 0.3617 1
Au1 Au 0.0000 0.0000 0.6804 1
```

Calculated values
For the total magnetization, the calculation gives 0.000 Bohr magnetons per cell. As for the energy of formation from the pure elements: 0.2939 eV per atom.

=====

Below is a relaxed structure of OsRuAu2, with properties calculated at the PBE level.

```
data_OsRuAu2
_chemical_formula_sum 'Os1 Ru1 Au2'
_space_group_name_H-M_alt 'P 4 m m'
_space_group_IT_number 99
_cell_length_a 2.8138
_cell_length_b 2.8138
_cell_length_c 8.1701
_cell_angle_alpha 90.00
_cell_angle_beta 90.00
_cell_angle_gamma 90.00
loop_
_space_group_symop_operation_xyz
'x,y,z'
'-y,x,z'
'-x,-y,z'
'y,-x,z'
'-x,y,z'
'y,x,z'
'x,-y,z'
'-y,-x,z'
loop_
_atom_site_label
_atom_site_type_symbol
_atom_site_fract_x
_atom_site_fract_y
_atom_site_fract_z
_atom_site_occupancy
Os1 Os 0.0000 0.0000 0.0000 1
Ru1 Ru 0.5000 0.5000 0.1986 1
Au1 Au 0.0000 0.0000 0.4612 1
Au2 Au 0.5000 0.5000 0.7376 1
```

Calculated values
For the total magnetization, the calculation gives 0.000 Bohr magnetons per cell. As for the energy of formation from the pure elements: 0.2279 eV per atom.